Here is an optimized crystal structure of InS2NO8 from the Alexandria database. Energies are from PBE-GGA.

a = 8.8736 Å, b = 8.8736 Å, c = 8.8736 Å
α = 33.01°, β = 33.01°, γ = 33.01°
Fractional positions:
In: 0.0000 0.0000 0.0000
S: 0.2593 0.2593 0.2593
S: 0.7407 0.7407 0.7407
N: 0.5000 0.5000 0.5000
O: 0.0239 0.5770 0.2387
O: 0.2014 0.2014 0.2014
O: 0.2387 0.0239 0.5770
O: 0.4230 0.9761 0.7613
O: 0.5770 0.2387 0.0239
O: 0.7613 0.4230 0.9761
O: 0.7986 0.7986 0.7986
O: 0.9761 0.7613 0.4230

Computed properties:
Calculated density in g/cm3: 2.9
D(E_F) in states/eV/cell: 6.50
Formation energy (no corrections) in eV per atom: -0.669